Computed, not measured: an optimized crystal structure of Tb4PrDy3 at the PBE level of DFT.

- Uncorrected energy: -0.32877 Ry/atom
- Energy relative to the elements: 0.17 eV per atom

Cell: 3.477 6.710 15.231 Å, 131.35 96.55 90.00°
Positions (direct):
Pr 0.500 0.000 0.000
Tb 0.374 0.879 0.748
Tb 0.626 0.121 0.252
Tb 0.626 0.635 0.252
Tb 0.374 0.365 0.748
Dy 0.000 0.500 0.000
Dy 0.240 0.220 0.480
Dy 0.760 0.780 0.520

Computed, not measured: an optimized crystal structure of Pm8Er5Mg at the PBE level of DFT.

- Uncorrected energy: -0.31025 Ry/atom
- Energy relative to the elements: 0.24 eV per atom

Cell: 8.520 8.520 8.520 Å, 110.55 107.34 110.55°
Positions (direct):
Pm 0.160 0.725 0.070
Pm 0.930 0.090 0.655
Pm 0.742 0.264 0.346
Pm 0.654 0.396 0.918
Pm 0.522 0.604 0.258
Pm 0.565 0.910 0.840
Pm 0.345 0.275 0.435
Pm 0.082 0.736 0.478
Er 0.025 0.305 0.123
Er 0.877 0.903 0.183
Er 0.817 0.695 0.720
Er 0.500 0.000 0.500
Er 0.280 0.097 0.975
Mg 0.250 0.500 0.750

Computed, not measured: an optimized crystal structure of AlSn2H at the PBE level of DFT.

- Uncorrected energy: -0.24942 Ry/atom

Cell: 4.863 4.863 8.249 Å, 72.85 72.85 90.00°
Positions (direct):
H 0.500 0.500 0.000
H 0.250 0.750 0.500
Sn 0.552 0.125 0.250
Sn 0.198 0.625 0.250
Sn 0.375 0.448 0.750
Sn 0.875 0.802 0.750
Al 0.000 0.000 0.000
Al 0.750 0.250 0.500

Computed, not measured: an optimized crystal structure of CoMoRh2 at the PBE level of DFT.

- Uncorrected energy: -0.59295 Ry/atom
- Energy relative to the elements: 0.09 eV per atom

Cell: 3.211 3.211 5.464 Å, 90.00 90.00 90.00°
Last column: magnetic moment on the atom in μB.
Positions (direct):
Co 0.500 0.500 0.250  1.64
Mo 0.500 0.500 0.750  -0.39
Rh 0.000 0.000 0.009  0.09
Rh 0.000 0.000 0.491  0.09

no.,DOS at the Fermi energy (states/eV/f.u.)
1,15.20
2,20.52
3,0.20
4,4.96